# 1
A plane-wave DFT calculation with SCAN was carried out for a PBEsol-optimized structure of Cd2HgSb.

- Total magnetic moment: 0.00 μB/f.u.
- Raw formation energy: 0.06 eV per formula unit

Cell lengths 4.606, 4.606, 6.618 Å; angles 101.13, 101.13, 44.73 degrees
Positions (direct):
Cd1 0.247 0.247 0.237
Cd2 0.753 0.753 0.763
Hg1 0.500 0.500 0.000
Sb1 0.000 0.000 0.500

---

# 2
A plane-wave DFT calculation with SCAN was carried out for a PBEsol-optimized structure of Cd2HgSb.

- Total magnetic moment: 0.00 μB/f.u.
- Raw formation energy: 0.29 eV per formula unit

Cell lengths 5.111, 5.111, 5.111 Å; angles 60.00, 60.00, 60.00 degrees
Positions (direct):
Cd1 0.250 0.250 0.250
Cd2 0.750 0.750 0.750
Hg1 0.000 0.000 0.000
Sb1 0.500 0.500 0.500

---

# 3
A plane-wave DFT calculation with SCAN was carried out for a PBEsol-optimized structure of Cd2HgSb.

- Total magnetic moment: 0.00 μB/f.u.
- Raw formation energy: 0.42 eV per formula unit

Cell lengths 3.220, 3.220, 8.905 Å; angles 90.00, 90.00, 93.77 degrees
Positions (direct):
Cd1 0.000 0.000 0.000
Cd2 0.500 0.500 0.230
Hg1 0.500 0.500 0.764
Sb1 0.000 0.000 0.490

---

# 4
A plane-wave DFT calculation with SCAN was carried out for a PBEsol-optimized structure of Cd2HgSb.

- Total magnetic moment: 0.00 μB/f.u.
- Raw formation energy: 0.19 eV per formula unit

Cell lengths 3.177, 5.244, 5.927 Å; angles 90.00, 101.77, 90.00 degrees
Positions (direct):
Cd1 0.000 0.000 0.000
Cd2 0.479 0.500 0.497
Hg1 0.499 0.500 0.999
Sb1 0.983 0.000 0.499

---

# 5
A plane-wave DFT calculation with SCAN was carried out for a PBEsol-optimized structure of CdHgSb2.

- Total magnetic moment: 0.00 μB/f.u.
- Raw formation energy: 1.05 eV per formula unit

Cell lengths 5.173, 5.173, 5.173 Å; angles 60.00, 60.00, 60.00 degrees
Positions (direct):
Cd1 0.000 0.000 0.000
Hg1 0.500 0.500 0.500
Sb1 0.250 0.250 0.250
Sb2 0.750 0.750 0.750

---

# 6
A plane-wave DFT calculation with SCAN was carried out for a PBEsol-optimized structure of CdHgSb2.

- Total magnetic moment: 0.00 μB/f.u.
- Raw formation energy: 0.69 eV per formula unit

Cell lengths 4.074, 4.629, 5.225 Å; angles 90.00, 90.00, 90.00 degrees
Positions (direct):
Cd1 0.000 0.000 0.000
Hg1 0.500 0.000 0.500
Sb1 0.000 0.500 0.500
Sb2 0.500 0.500 0.000

---

# 7
A plane-wave DFT calculation with SCAN was carried out for a PBEsol-optimized structure of Sc2CdHg2.

- Calculated formation energy: -2.7 eV/f.u.
- Total magnetic moment: 0.00 μB/f.u.

Cell lengths 7.625, 7.625, 3.660 Å; angles 90.00, 90.00, 90.00 degrees
Positions (direct):
Sc1 0.166 0.334 0.000
Sc2 0.334 0.834 0.000
Sc3 0.666 0.166 0.000
Sc4 0.834 0.666 0.000
Cd1 0.000 0.000 0.500
Cd2 0.500 0.500 0.500
Hg1 0.134 0.634 0.500
Hg2 0.366 0.134 0.500
Hg3 0.634 0.866 0.500
Hg4 0.866 0.366 0.500

---

# 8
A plane-wave DFT calculation with SCAN was carried out for a PBEsol-optimized structure of Sc2CdHg.

- Calculated formation energy: -2.2 eV/f.u.
- Total magnetic moment: 0.00 μB/f.u.

Cell lengths 3.503, 4.881, 4.882 Å; angles 90.00, 90.00, 90.00 degrees
Positions (direct):
Sc1 0.000 0.000 0.000
Sc2 0.000 0.500 0.497
Cd1 0.500 0.500 0.997
Hg1 0.500 0.000 0.501

---

# 9
A plane-wave DFT calculation with SCAN was carried out for a PBEsol-optimized structure of ScCdHg2.

- Calculated formation energy: -0.6 eV/f.u.
- Total magnetic moment: 0.00 μB/f.u.

Cell lengths 9.314, 9.314, 9.314 Å; angles 20.73, 20.73, 20.73 degrees
Positions (direct):
Sc1 0.000 0.000 0.000
Cd1 0.248 0.248 0.248
Hg1 0.499 0.499 0.499
Hg2 0.747 0.747 0.747

---

# 10
A plane-wave DFT calculation with SCAN was carried out for a PBEsol-optimized structure of ScCdHg.

- Calculated formation energy: -0.5 eV/f.u.
- Total magnetic moment: 0.00 μB/f.u.

Cell lengths 4.624, 4.624, 4.624 Å; angles 60.00, 60.00, 60.00 degrees
Positions (direct):
Sc1 0.000 0.000 0.000
Cd1 0.250 0.250 0.250
Hg1 0.500 0.500 0.500

---

# 11
A plane-wave DFT calculation with SCAN was carried out for a PBEsol-optimized structure of Sc2CdHg.

- Calculated formation energy: -1.3 eV/f.u.
- Total magnetic moment: 0.00 μB/f.u.

Cell lengths 9.375, 9.375, 9.375 Å; angles 20.57, 20.57, 20.57 degrees
Positions (direct):
Sc1 0.248 0.248 0.248
Sc2 0.752 0.752 0.752
Cd1 0.000 0.000 0.000
Hg1 0.500 0.500 0.500

---

# 12
A plane-wave DFT calculation with SCAN was carried out for a PBEsol-optimized structure of ScCdHg.

- Calculated formation energy: -1.1 eV/f.u.
- Total magnetic moment: 0.31 μB/f.u.

Cell lengths 6.366, 6.366, 6.366 Å; angles 150.63, 150.63, 42.02 degrees
Positions (direct):
Sc1 0.000 0.000 0.000
Cd1 0.672 0.672 0.000
Hg1 0.340 0.340 0.000